Material: ZrGe2
Method: DFT, PBEsol
State: relaxed

Cell: 3.7899 14.9010 3.7661 Å, 90.00 90.00 90.00°
Last column: nearest neighbours and their distance in Å.
Space group Cmcm (No. 63)
Symmetry-distinct sites (fractional):
Zr 0.0000 0.1046 0.2500  8 Ge 2.75-2.88
Ge 0.0000 0.2502 0.7500  4 Ge 2.67, 4 Zr 2.87-2.88
Ge 0.0000 0.4405 0.2500  2 Ge 2.59, 4 Zr 2.75

Material: H
Method: DFT, PBEsol
State: relaxed

Cell: 3.0973 3.0973 3.0707 Å, 90.00 90.00 90.00°
Last column: nearest neighbours and their distance in Å.
Space group P4/mmm (No. 123)
Symmetry-distinct sites (fractional):
H 0.0000 0.0000 0.0000  6 H 3.07-3.10

Material: H
Method: DFT, PBEsol
State: relaxed

Cell: 2.9459 2.9459 2.9459 Å, 90.00 90.00 90.00°
Last column: nearest neighbours and their distance in Å.
Space group Fd-3m (No. 227, origin choice 2)
Symmetry-distinct sites (fractional):
H 0.1250 0.1250 0.1250  4 H 1.28

Material: H
Method: DFT, PBEsol
State: relaxed

Cell: 3.0301 3.0301 2.9714 Å, 90.00 90.00 90.00°
Last column: nearest neighbours and their distance in Å.
Space group P4/mmm (No. 123)
Symmetry-distinct sites (fractional):
H 0.0000 0.0000 0.0000  6 H 2.97-3.03

Material: H
Method: DFT, PBEsol
State: relaxed

Cell: 5.1310 6.1677 5.5279 Å, 90.00 90.00 90.00°
Last column: nearest neighbours and their distance in Å.
Space group Pbca (No. 61)
Symmetry-distinct sites (fractional):
H 0.2479 0.1248 0.0930  12 H 3.08-3.18

Material: H
Method: DFT, PBEsol
State: relaxed

Cell: 3.1069 10.9149 2.9845 Å, 90.00 90.00 90.00°
Last column: nearest neighbours and their distance in Å.
Space group Cmmm (No. 65)
Symmetry-distinct sites (fractional):
H 0.0000 0.1328 0.0000  7 H 2.90-3.11

Material: H
Method: DFT, PBEsol
State: relaxed

Cell: 8.0237 10.4255 8.9526 Å, 90.00 99.84 90.00°
Last column: nearest neighbours and their distance in Å.
Space group P2_1 (No. 4)
Symmetry-distinct sites (fractional):
H 0.0223 0.0000 0.3209  10 H 3.03-3.27
H 0.0572 0.7396 0.4898  9 H 2.90-3.22
H 0.0720 0.7252 0.1691  10 H 2.90-3.24
H 0.0989 0.4621 0.0256  10 H 3.05-3.25
H 0.1273 0.7609 0.8300  9 H 3.01-3.19
H 0.1511 0.4574 0.3838  8 H 2.95-3.22
H 0.2052 0.1642 0.0825  9 H 2.95-3.27
H 0.2144 0.0381 0.7342  11 H 3.06-3.42
H 0.2916 0.3262 0.7765  7 H 3.03-3.27
H 0.2943 0.1965 0.4295  8 H 2.95-3.27
H 0.3440 0.9009 0.1127  8 H 2.96-3.25
H 0.3778 0.5991 0.6623  9 H 3.01-3.22
H 0.3946 0.8993 0.4768  10 H 3.07-3.27
H 0.4211 0.6380 0.3244  9 H 2.92-3.26
H 0.4419 0.6185 0.0029  9 H 2.92-3.24
H 0.4717 0.3620 0.1807  10 H 2.99-3.32

Material: H
Method: DFT, PBEsol
State: relaxed

Cell: 4.6727 4.6727 4.6727 Å, 90.00 90.00 90.00°
Last column: nearest neighbours and their distance in Å.
Space group Fm-3m (No. 225)
Symmetry-distinct sites (fractional):
H 0.0000 0.0000 0.0000  12 H 3.30

Material: H
Method: DFT, PBEsol
State: relaxed

Cell: 3.3084 3.3084 5.3983 Å, 90.00 90.00 120.00°
Last column: nearest neighbours and their distance in Å.
Space group P6_3/mmc (No. 194)
Symmetry-distinct sites (fractional):
H 0.3333 0.6667 0.2500  12 H 3.31

Material: H
Method: DFT, PBEsol
State: relaxed

Cell: 5.7684 10.4049 6.1749 Å, 90.00 90.00 90.00°
Last column: nearest neighbours and their distance in Å.
Space group Pnma (No. 62)
Symmetry-distinct sites (fractional):
H 0.0523 0.2500 0.1216  12 H 3.09-3.29
H 0.0536 0.2500 0.6215  12 H 3.09-3.29
H 0.2476 0.9996 0.8700  12 H 3.09-3.33

Material: H
Method: DFT, PBEsol
State: relaxed

Cell: 3.8245 3.8245 3.8245 Å, 90.00 90.00 90.00°
Last column: nearest neighbours and their distance in Å.
Space group Im-3m (No. 229)
Symmetry-distinct sites (fractional):
H 0.0000 0.0000 0.0000  8 H 3.31

Material: H
Method: DFT, PBEsol
State: relaxed

Cell: 5.3082 2.9911 3.1132 Å, 90.00 90.00 90.00°
Last column: nearest neighbours and their distance in Å.
Space group Pmma (No. 51)
Symmetry-distinct sites (fractional):
H 0.2500 0.0000 0.2488  8 H 2.99-3.11

Material: H
Method: DFT, PBEsol
State: relaxed

Cell: 3.0704 3.0704 2.9018 Å, 90.00 90.00 120.00°
Last column: nearest neighbours and their distance in Å.
Space group P6/mmm (No. 191)
Symmetry-distinct sites (fractional):
H 0.0000 0.0000 0.0000  8 H 2.90-3.07

Material: HfHg3H
Method: DFT, PBEsol
State: relaxed

Cell: 4.4086 4.4086 4.4086 Å, 90.00 90.00 90.00°
Last column: nearest neighbours and their distance in Å.
Space group Pm-3m (No. 221)
Symmetry-distinct sites (fractional):
Hf 0.0000 0.0000 0.0000  12 Hg 3.12
Hg 0.0000 0.5000 0.5000  2 H 2.20
H 0.5000 0.5000 0.5000  6 Hg 2.20

Material: HfHg3H
Method: DFT, PBEsol
State: relaxed

Cell: 5.4963 5.4963 5.4963 Å, 90.00 90.00 90.00°
Last column: nearest neighbours and their distance in Å.
Space group Pm-3m (No. 221)
Symmetry-distinct sites (fractional):
Hf 0.0000 0.0000 0.0000  6 Hg 2.75
Hg 0.0000 0.0000 0.5000  2 Hf 2.75
H 0.5000 0.5000 0.5000  12 Hg 3.89

Material: Hf3HgH
Method: DFT, PBEsol
State: relaxed

Cell: 4.3481 4.3481 4.3481 Å, 90.00 90.00 90.00°
Last column: nearest neighbours and their distance in Å.
Space group Pm-3m (No. 221)
Symmetry-distinct sites (fractional):
Hf 0.0000 0.0000 0.5000  2 H 2.17
Hg 0.5000 0.5000 0.5000  12 Hf 3.07
H 0.0000 0.0000 0.0000  6 Hf 2.17

Material: Hf2HgH2
Method: DFT, PBEsol
State: relaxed

Cell: 3.6658 3.6658 9.5716 Å, 90.00 90.00 90.00°
Last column: nearest neighbours and their distance in Å.
Space group I4/mmm (No. 139)
Symmetry-distinct sites (fractional):
Hf 0.0000 0.0000 0.1564  4 H 2.04
Hg 0.0000 0.0000 0.5000  10 Hf 2.99-3.29, 8 H 3.01
H 0.0000 0.5000 0.2500  4 Hf 2.04

Material: HfHg2H
Method: DFT, PBEsol
State: relaxed

Cell: 8.6989 8.6989 3.7969 Å, 90.00 90.00 90.00°
Last column: nearest neighbours and their distance in Å.
Space group I-42d (No. 122)
Symmetry-distinct sites (fractional):
Hf 0.0000 0.0000 0.0000  2 H 1.90
Hg 0.1314 0.2500 0.6250  2 H 2.50
H 0.0000 0.0000 0.5000  2 Hf 1.90

Material: HfInHgH2
Method: DFT, PBEsol
State: relaxed

Cell: 3.9186 3.9186 5.6807 Å, 90.00 90.00 90.00°
Last column: nearest neighbours and their distance in Å.
Space group P4/mmm (No. 123)
Symmetry-distinct sites (fractional):
Hf 0.0000 0.0000 0.0000  4 H 1.96
In 0.5000 0.5000 0.5000  4 Hg 2.77
Hg 0.0000 0.0000 0.5000  4 In 2.77, 2 Hf 2.84
H 0.0000 0.5000 0.0000  2 Hf 1.96

Material: HfSc2HgH
Method: DFT, PBEsol
State: relaxed

Cell: 5.3720 5.3720 3.5140 Å, 90.00 90.00 90.00°
Last column: nearest neighbours and their distance in Å.
Space group P4/mmm (No. 123)
Symmetry-distinct sites (fractional):
Hf 0.0000 0.0000 0.0000  2 H 1.76
Sc 0.0000 0.5000 0.0000  2 Hf 2.69
Hg 0.5000 0.5000 0.5000  8 Sc 3.21, 2 Hg 3.51
H 0.0000 0.0000 0.5000  2 Hf 1.76

Material: HfHI2
Method: DFT, PBEsol
State: relaxed

Cell: 5.9791 5.9791 10.7114 Å, 90.00 90.00 90.00°
Last column: nearest neighbours and their distance in Å.
Space group I-42d (No. 122)
Symmetry-distinct sites (fractional):
Hf 0.0000 0.0000 0.0000  4 I 2.75
H 0.0000 0.0000 0.5000  4 I 2.29
I 0.1853 0.2500 0.6250  2 H 2.29

Material: HfMg2HI
Method: DFT, PBEsol
State: relaxed

Cell: 5.5914 5.5914 5.2060 Å, 90.00 90.00 90.00°
Last column: nearest neighbours and their distance in Å.
Space group P4/mmm (No. 123)
Symmetry-distinct sites (fractional):
Hf 0.0000 0.0000 0.0000  2 I 2.60
Mg 0.0000 0.5000 0.5000  2 I 2.80
H 0.5000 0.5000 0.0000  8 Mg 3.82, 4 Hf 3.95
I 0.0000 0.0000 0.5000  2 Hf 2.60, 4 Mg 2.80

Material: HfHPb2I
Method: DFT, PBEsol
State: relaxed

Cell: 5.8926 5.8926 3.7132 Å, 90.00 90.00 90.00°
Last column: nearest neighbours and their distance in Å.
Space group P4/mmm (No. 123)
Symmetry-distinct sites (fractional):
Hf 0.0000 0.0000 0.0000  2 H 1.86
H 0.0000 0.0000 0.5000  2 Hf 1.86
Pb 0.0000 0.5000 0.0000  2 Hf 2.95
I 0.5000 0.5000 0.5000  8 Pb 3.48, 2 I 3.71

Material: HfSb2HI
Method: DFT, PBEsol
State: relaxed

Cell: 5.4579 5.4579 5.6946 Å, 90.00 90.00 90.00°
Last column: nearest neighbours and their distance in Å.
Space group P4/mmm (No. 123)
Symmetry-distinct sites (fractional):
Hf 0.0000 0.0000 0.0000  4 Sb 2.73, 2 I 2.85
Sb 0.0000 0.5000 0.0000  2 Hf 2.73
H 0.5000 0.5000 0.5000  4 I 3.86, 8 Sb 3.94
I 0.0000 0.0000 0.5000  2 Hf 2.85

Material: Hf2ScInH
Method: DFT, PBEsol
State: relaxed

Cell: 5.6159 5.6159 3.3769 Å, 90.00 90.00 90.00°
Last column: nearest neighbours and their distance in Å.
Space group P4/mmm (No. 123)
Symmetry-distinct sites (fractional):
Hf 0.0000 0.5000 0.0000  2 In 2.81
Sc 0.0000 0.0000 0.5000  8 Hf 3.28, 2 Sc 3.38
In 0.5000 0.5000 0.0000  2 H 1.69
H 0.5000 0.5000 0.5000  2 In 1.69

Material: HfHIr3
Method: DFT, PBEsol
State: relaxed

Cell: 3.9672 3.9672 3.9672 Å, 90.00 90.00 90.00°
Last column: nearest neighbours and their distance in Å.
Space group Pm-3m (No. 221)
Symmetry-distinct sites (fractional):
Hf 0.0000 0.0000 0.0000  12 Ir 2.81
H 0.5000 0.5000 0.5000  6 Ir 1.98
Ir 0.0000 0.5000 0.5000  2 H 1.98

Material: HfH3Ir
Method: DFT, PBEsol
State: relaxed

Cell: 3.5185 3.5185 3.5185 Å, 90.00 90.00 90.00°
Last column: nearest neighbours and their distance in Å.
Space group Pm-3m (No. 221)
Symmetry-distinct sites (fractional):
Hf 0.0000 0.0000 0.0000  12 H 2.49
H 0.0000 0.5000 0.5000  2 Ir 1.76
Ir 0.5000 0.5000 0.5000  6 H 1.76

Material: HfSnHIr2
Method: DFT, PBEsol
State: relaxed

Cell: 4.7878 4.7878 5.2704 Å, 90.00 90.00 90.00°
Last column: nearest neighbours and their distance in Å.
Space group P4/mmm (No. 123)
Symmetry-distinct sites (fractional):
Hf 0.0000 0.0000 0.0000  2 Sn 2.64
Sn 0.0000 0.0000 0.5000  4 Ir 2.39, 2 Hf 2.64
H 0.5000 0.5000 0.0000  4 Hf 3.39, 8 Ir 3.56
Ir 0.0000 0.5000 0.5000  2 Sn 2.39

Magnetization (μB per formula unit)
0.0, 1.0, 0.0, 1.0, 1.0, 1.0, 1.0, 1.0, 1.0, 1.0, 1.0, 1.0, 1.0, 0.0, 0.9, 0.0, 0.0, 0.0, 0.0, 0.0, 0.0, 0.0, 0.0, 0.9, 0.0, 0.0, 0.0, 0.4
Electronic total energy (eV per atom)
-7.02, -0.91, -2.64, -0.90, -0.90, -0.90, -0.90, -0.91, -0.91, -0.90, -0.92, -0.90, -0.89, -2.75, -2.03, -7.35, -6.02, -3.56, -3.96, -5.10, -3.99, -2.25, -4.53, -4.34, -5.89, -9.30, -6.23, -5.32